1.
! Tm3Zn2Au (PBE, relaxed); values from VASP
! Uncorrected energy ... -22.5 eV/cell
! Magnetization ... 0.0 μB/f.u.
! Energy relative to the lowest polymorph listed for this composition ... 0.005 eV per atom
! Space group ... No. 164
&SYSTEM
  ibrav = 0, nat = 6, ntyp = 3
/
ATOMIC_SPECIES
Au 196.97 Au.upf
Tm 168.93 Tm.upf
Zn 65.41 Zn.upf
CELL_PARAMETERS angstrom
-1.0816 2.6020 -4.1236
-3.0935 -3.5937 1.5684
-3.0410 4.0930 3.3803
ATOMIC_POSITIONS angstrom
Au 0.0000 0.0000 0.0000
Tm -2.9187 -0.8611 0.2222
Zn -4.4055 1.1400 1.8749
Tm -4.2975 3.9624 0.6029
Zn -2.8106 1.9612 -1.0498
Tm -1.5205 2.0465 1.6902


2.
! TmZn6Au2 (PBE, relaxed); values from VASP
! Uncorrected energy ... -21.3 eV/cell
! Magnetization ... 0.0 μB/f.u.
! Space group ... No. 123
&SYSTEM
  ibrav = 0, nat = 9, ntyp = 3
/
ATOMIC_SPECIES
Zn 65.41 Zn.upf
Au 196.97 Au.upf
Tm 168.93 Tm.upf
CELL_PARAMETERS angstrom
3.8592 0.0000 0.0000
0.0000 3.8592 0.0000
0.0000 0.0000 10.5339
ATOMIC_POSITIONS angstrom
Zn 1.9296 0.0000 7.2581
Au 1.9296 1.9296 9.1426
Tm 0.0000 0.0000 0.0000
Zn 0.0000 1.9296 3.2758
Zn 1.9296 1.9296 5.2670
Au 1.9296 1.9296 1.3914
Zn 1.9296 0.0000 3.2758
Zn 0.0000 1.9296 7.2581
Zn 0.0000 0.0000 5.2670


3.
! Tm5Zn2Au2 (PBE, relaxed); values from VASP
! Uncorrected energy ... -71.5 eV/cell
! Magnetization ... 0.0 μB/f.u.
! Space group ... No. 64
&SYSTEM
  ibrav = 0, nat = 18, ntyp = 3
/
ATOMIC_SPECIES
Tm 168.93 Tm.upf
Au 196.97 Au.upf
Zn 65.41 Zn.upf
CELL_PARAMETERS angstrom
7.3927 0.0000 0.0000
0.0000 7.3357 0.0000
0.0000 -3.6679 8.0120
ATOMIC_POSITIONS angstrom
Tm 0.0000 0.0000 0.0000
Tm 1.2702 2.3523 2.2592
Tm 1.2702 -1.3156 5.7528
Au 2.6966 0.9703 0.0000
Tm 2.4261 2.3523 5.7528
Au 0.9997 4.6381 0.0000
Tm 4.9665 -2.3523 5.7528
Au 6.3929 2.6976 0.0000
Tm 3.6963 3.6679 0.0000
Tm 6.1225 4.9834 2.2592
Tm 6.1225 1.3156 5.7528
Zn 0.0000 0.0000 3.4373
Zn 3.6963 3.6679 3.4373
Tm 4.9665 1.3156 2.2592
Au 4.6961 6.3655 0.0000
Zn 0.0000 3.6679 4.5747
Zn 3.6963 0.0000 4.5747
Tm 2.4261 6.0202 2.2592


4.
! Tm4Zn3Au (PBE, relaxed); values from VASP
! Uncorrected energy ... -28.9 eV/cell
! Magnetization ... 0.0 μB/f.u.
! Energy relative to the lowest polymorph listed for this composition ... 0.000 eV per atom
! Space group ... No. 123
&SYSTEM
  ibrav = 0, nat = 8, ntyp = 3
/
ATOMIC_SPECIES
Tm 168.93 Tm.upf
Zn 65.41 Zn.upf
Au 196.97 Au.upf
CELL_PARAMETERS angstrom
-0.4418 0.9949 -3.3714
0.8318 -3.2719 -1.0746
-13.4889 -3.6555 0.6888
ATOMIC_POSITIONS angstrom
Tm -11.7985 -3.1975 0.6025
Tm -5.0636 -1.3723 0.2586
Zn -6.5494 -2.9662 -1.8786
Zn -3.2283 -2.0662 -2.0482
Au 0.1950 -1.1385 -2.2230
Tm -1.6903 -0.4581 0.0863
Tm -8.4252 -2.2833 0.4302
Zn -9.8706 -3.8663 -1.7090


| no. | DFT formation energy (eV per atom) |
| --- | --- |
| 1 | -0.54 |
| 2 | -0.29 |
| 3 | -0.48 |
| 4 | -0.49 |